Entry 1
Computed, not measured: CaPuSb2 after structural relaxation at the GGA-PBE level of DFT.

a b c (Å): 7.649 7.649 7.649
angles (deg): 34.33 34.33 34.33
Fractional coordinates of all 4 atoms:
Ca1 0.000 0.000 0.000
Pu1 0.500 0.500 0.500
Sb1 0.244 0.244 0.244
Sb2 0.756 0.756 0.756

Output
D(E_F) = 3.7580 states/eV/atom


Entry 2
Computed, not measured: CaPuSb2 after structural relaxation at the GGA-PBE level of DFT.

a b c (Å): 7.738 7.738 7.738
angles (deg): 33.98 33.98 33.98
Fractional coordinates of all 4 atoms:
Ca1 0.000 0.000 0.000
Pu1 0.172 0.172 0.172
Sb1 0.581 0.581 0.581
Sb2 0.759 0.759 0.759

Output
D(E_F) = 3.7543 states/eV/atom


It is entry 2 that is the least stable of them.


Entry 1
Computed, not measured: CaPu2Se4 after structural relaxation at the GGA-PBE level of DFT.

a b c (Å): 7.073 7.073 13.943
angles (deg): 90.00 90.00 146.20
Fractional coordinates of all 14 atoms:
Ca1 0.113 0.887 0.750
Ca2 0.887 0.113 0.250
Pu1 0.366 0.634 0.568
Pu2 0.366 0.634 0.932
Pu3 0.634 0.366 0.068
Pu4 0.634 0.366 0.432
Se1 0.000 0.000 0.000
Se2 0.000 0.000 0.500
Se3 0.273 0.727 0.120
Se4 0.273 0.727 0.380
Se5 0.460 0.540 0.750
Se6 0.540 0.460 0.250
Se7 0.727 0.273 0.620
Se8 0.727 0.273 0.880

Output
D(E_F) = 2.8357 states/eV/atom


Entry 2
Computed, not measured: CaPu2Se4 after structural relaxation at the GGA-PBE level of DFT.

a b c (Å): 7.606 7.606 7.606
angles (deg): 109.67 109.67 109.08
Fractional coordinates of all 14 atoms:
Ca1 0.000 0.000 0.000
Ca2 0.750 0.250 0.500
Pu1 0.247 0.625 0.122
Pu2 0.375 0.497 0.622
Pu3 0.503 0.125 0.878
Pu4 0.875 0.753 0.378
Se1 0.130 0.231 0.749
Se2 0.131 0.732 0.751
Se3 0.268 0.019 0.399
Se4 0.482 0.381 0.251
Se5 0.619 0.870 0.101
Se6 0.620 0.869 0.601
Se7 0.769 0.518 0.899
Se8 0.981 0.380 0.249

Output
D(E_F) = 2.4133 states/eV/atom


It is entry 1 that is the least stable of them.


Entry 1
Computed, not measured: CaPu2Se3 after structural relaxation at the GGA-PBE level of DFT.

a b c (Å): 4.149 4.149 20.908
angles (deg): 90.00 90.00 120.00
Fractional coordinates of all 12 atoms:
Ca1 0.000 0.000 0.250
Ca2 0.000 0.000 0.750
Pu1 0.333 0.667 0.082
Pu2 0.333 0.667 0.418
Pu3 0.667 0.333 0.582
Pu4 0.667 0.333 0.918
Se1 0.000 0.000 0.000
Se2 0.000 0.000 0.500
Se3 0.333 0.667 0.664
Se4 0.333 0.667 0.836
Se5 0.667 0.333 0.164
Se6 0.667 0.333 0.336

Output
D(E_F) = 3.2963 states/eV/atom


Entry 2
Computed, not measured: CaPu2Se3 after structural relaxation at the GGA-PBE level of DFT.

a b c (Å): 7.238 7.238 7.238
angles (deg): 146.39 131.82 60.02
Fractional coordinates of all 6 atoms:
Ca1 0.000 0.000 0.000
Pu1 0.334 0.334 0.000
Pu2 0.666 0.666 0.000
Se1 0.168 0.668 0.500
Se2 0.500 0.000 0.500
Se3 0.832 0.332 0.500

Output
D(E_F) = 3.0915 states/eV/atom


It is entry 1 that is the least stable of them.


Entry 1
Computed, not measured: Ca3PuSe4 after structural relaxation at the GGA-PBE level of DFT.

a b c (Å): 4.193 4.193 11.953
angles (deg): 90.00 90.00 90.00
Fractional coordinates of all 8 atoms:
Ca1 0.000 0.000 0.000
Ca2 0.500 0.500 0.249
Ca3 0.500 0.500 0.751
Pu1 0.000 0.000 0.500
Se1 0.000 0.000 0.249
Se2 0.000 0.000 0.751
Se3 0.500 0.500 0.000
Se4 0.500 0.500 0.500

Output
D(E_F) = 1.2841 states/eV/atom


Entry 2
Computed, not measured: Ca3PuSe4 after structural relaxation at the GGA-PBE level of DFT.

a b c (Å): 7.300 7.300 4.201
angles (deg): 90.00 90.00 109.62
Fractional coordinates of all 8 atoms:
Ca1 0.000 0.000 0.000
Ca2 0.000 0.500 0.500
Ca3 0.500 0.000 0.500
Pu1 0.500 0.500 0.000
Se1 0.250 0.750 0.000
Se2 0.251 0.251 0.500
Se3 0.749 0.749 0.500
Se4 0.750 0.250 0.000

Output
D(E_F) = 1.8559 states/eV/atom


It is entry 2 that is the least stable of them.


Entry 1
Computed, not measured: CaSm2Pu after structural relaxation at the GGA-PBE level of DFT.

a b c (Å): 12.914 12.914 12.914
angles (deg): 15.67 15.67 15.67
Fractional coordinates of all 4 atoms:
Ca1 0.000 0.000 0.000
Sm1 0.415 0.415 0.415
Sm2 0.585 0.585 0.585
Pu1 0.500 0.500 0.500

Output
D(E_F) = 3.1371 states/eV/atom


Entry 2
Computed, not measured: CaSm2Pu after structural relaxation at the GGA-PBE level of DFT.

a b c (Å): 12.066 12.066 12.066
angles (deg): 17.25 17.25 17.25
Fractional coordinates of all 4 atoms:
Ca1 0.000 0.000 0.000
Sm1 0.577 0.577 0.577
Sm2 0.756 0.756 0.756
Pu1 0.166 0.166 0.166

Output
D(E_F) = 2.9969 states/eV/atom


Entry 3
Computed, not measured: CaSm2Pu after structural relaxation at the GGA-PBE level of DFT.

a b c (Å): 3.585 3.585 10.415
angles (deg): 90.00 90.00 90.00
Fractional coordinates of all 4 atoms:
Ca1 0.000 0.000 0.000
Sm1 0.500 0.500 0.273
Sm2 0.500 0.500 0.727
Pu1 0.000 0.000 0.500

Output
D(E_F) = 2.2691 states/eV/atom


It is entry 1 that is the least stable of them.


Entry 1
Computed, not measured: CaTbPu after structural relaxation at the GGA-PBE level of DFT.

a b c (Å): 8.657 8.657 6.348
angles (deg): 104.74 104.74 23.79
Fractional coordinates of all 6 atoms:
Ca1 0.057 0.057 0.286
Ca2 0.943 0.943 0.714
Tb1 0.342 0.342 0.153
Tb2 0.658 0.658 0.847
Pu1 0.269 0.269 0.613
Pu2 0.731 0.731 0.387

Output
D(E_F) = 1.6393 states/eV/atom


Entry 2
Computed, not measured: CaTbPu after structural relaxation at the GGA-PBE level of DFT.

a b c (Å): 8.303 8.303 8.303
angles (deg): 155.53 155.53 34.88
Fractional coordinates of all 3 atoms:
Ca1 0.000 0.000 0.000
Tb1 0.321 0.321 0.000
Pu1 0.671 0.671 0.000

Output
D(E_F) = 3.3934 states/eV/atom


It is entry 1 that is the least stable of them.